# 1
Here is a geometry-optimized Cd5Pd4Au structure from Alexandria. Energies are from GGA-PBE.

The structure in POSCAR format:
```
Cd5Pd4Au
1.0
3.266 0.000 0.000
0.000 3.266 0.000
0.000 0.000 16.799
Cd Pd Au
5 4 1
direct
0.000 0.000 0.000
0.000 0.000 0.195
0.000 0.000 0.392
0.000 0.000 0.608
0.000 0.000 0.805
0.500 0.500 0.097
0.500 0.500 0.293
0.500 0.500 0.707
0.500 0.500 0.903
0.500 0.500 0.500
```

## Properties
The calculation puts the energy relative to the elements at -8.15 kcal/mol of atoms. For the size of the total moment, the calculation gives 0.00 μB per cell. The calculated volume comes out at 179.23 Å³ per cell.

---

# 2
Here is a geometry-optimized Sm4DyPb2 structure from Alexandria. Energies are from GGA-PBE.

The structure in POSCAR format:
```
Sm4DyPb2
1.0
-2.738 2.738 8.377
2.738 -2.738 8.377
2.738 2.738 -8.377
Sm Dy Pb
4 1 2
direct
0.000 0.500 0.500
0.183 0.183 0.000
0.500 0.000 0.500
0.817 0.817 0.000
0.000 0.000 0.000
0.369 0.369 0.000
0.631 0.631 0.000
```

## Properties
The calculation puts the energy relative to the elements at 8.28 kcal/mol of atoms. For the size of the total moment, the calculation gives 0.00 μB per cell. The calculated volume comes out at 251.21 Å³ per cell.

---

# 3
Here is a geometry-optimized Th8IrOs3S4 structure from Alexandria. Energies are from GGA-PBE.

The structure in POSCAR format:
```
Th8IrOs3S4
1.0
4.087 2.359 7.134
-4.087 2.359 7.134
0.000 -4.719 7.134
Th Ir Os S
8 1 3 4
direct
0.238 0.743 0.743
0.242 0.242 0.242
0.257 0.257 0.762
0.257 0.762 0.257
0.743 0.238 0.743
0.743 0.743 0.238
0.758 0.758 0.758
0.762 0.257 0.257
0.500 0.500 0.500
0.000 0.000 0.500
0.000 0.500 0.000
0.500 0.000 0.000
0.000 0.000 0.000
0.000 0.500 0.500
0.500 0.000 0.500
0.500 0.500 0.000
```

## Properties
For the size of the total moment, the calculation gives 0.00 μB per cell. The raw formation energy comes out at -1.139 eV per atom. The calculated volume comes out at 412.73 Å³ per cell.

---

# 4
Here is a geometry-optimized TbY8Tl2 structure from Alexandria. Energies are from GGA-PBE.

The structure in POSCAR format:
```
TbY8Tl2
1.0
4.469 -7.553 0.000
4.469 7.553 0.000
-2.230 0.000 5.193
Tb Y Tl
1 8 2
direct
0.000 0.000 0.000
0.093 0.322 0.615
0.219 0.781 0.000
0.322 0.093 0.615
0.401 0.401 0.203
0.599 0.599 0.797
0.678 0.907 0.385
0.781 0.219 0.000
0.907 0.678 0.385
0.306 0.694 0.500
0.694 0.306 0.500
```

## Properties
The calculation puts the energy relative to the elements at -0.53 kcal/mol of atoms. For the size of the total moment, the calculation gives 0.00 μB per cell. The calculated volume comes out at 350.60 Å³ per cell.

---

# 5
Here is a geometry-optimized SiB2 structure from Alexandria. Energies are from GGA-PBE.

The structure in POSCAR format:
```
SiB2
1.0
4.704 -1.419 0.000
4.704 1.419 0.000
-3.432 0.000 4.596
Si B
2 4
direct
0.000 0.000 0.000
0.135 0.135 0.640
0.238 0.238 0.401
0.354 0.354 0.053
0.417 0.417 0.397
0.885 0.885 0.557
```

## Properties
The calculation puts the relative energy among the computed polymorphs at 95 meV per atom. For the size of the total moment, the calculation gives 0.00 μB per cell. The raw formation energy comes out at 0.287 eV per atom. The calculated volume comes out at 61.34 Å³ per cell.

---

# 6
Here is a geometry-optimized Mn2FeTcN structure from Alexandria. Energies are from GGA-PBE.

The structure in POSCAR format:
```
Mn2FeTcN
1.0
3.762 0.000 0.000
0.000 3.762 0.000
0.000 0.000 3.738
Mn Fe Tc N
2 1 1 1
direct
0.000 0.500 0.000
0.500 0.000 0.000
0.000 0.000 0.500
0.500 0.500 0.500
0.000 0.000 0.000
```

## Properties
The calculation puts the relative energy among the computed polymorphs at 40 meV per atom. For the size of the total moment, the calculation gives 0.00 μB per cell. The raw formation energy comes out at 0.016 eV per atom. The calculated volume comes out at 52.90 Å³ per cell.